[1]
## BaYZr3 (PBE-GGA)

Data for a relaxed BaYZr3 crystal.

```
BaYZr3
1.0
-3.362 3.295 -2.832
-3.767 -3.995 -0.177
-2.166 1.834 4.704
Zr Y Ba
3 1 1
Cartesian
-1.884 -1.998 -0.088
-1.681 1.648 -1.416
-1.083 0.917 2.352
0.000 0.000 0.000
-4.648 0.567 0.848
```

Total magnetic moment (μB per formula unit): 1.4
Offset from the most stable computed form (eV/atom): 0.000
Calculated formation energy (eV per formula unit): 5.67

[2]
## DyHo2Si2 (PBE-GGA)

Data for a relaxed DyHo2Si2 crystal.

```
DyHo2Si2
1.0
4.191 0.000 0.000
0.000 7.468 0.000
0.000 0.000 7.468
Ho Si Dy
4 4 2
Cartesian
0.000 5.048 2.420
0.000 1.314 1.314
0.000 2.420 5.048
0.000 6.154 6.154
2.095 6.598 0.870
2.095 2.864 2.864
2.095 0.870 6.598
2.095 4.604 4.604
2.095 3.734 0.000
2.095 0.000 3.734
```

Total magnetic moment (μB per formula unit): 0.0
Offset from the most stable computed form (eV/atom): 0.000
Uncorrected formation energy (eV per formula unit): -3.48